No. 1
The following is a DFT calculation (PBE) of crystalline CeHoB at its relaxed geometry.

Calculated values
V: 22.9 A^3/atom
Density of states at the Fermi level: 1.914 states/eV per atom
ΔE_f: -13.2 meV/atom
DFT total energy: -34.46 eV/cell

a b c (Å): 3.265 3.788 12.855
angles (deg): 89.92 75.28 64.48
Last column: magnetic moment on the atom in μB.
Fractional coordinates of all 6 atoms:
Ho: 0.111 0.095 0.328  0.04
Ho: 0.084 0.589 0.107  0.05
Ce: 0.539 0.766 0.564  0.55
Ce: 0.664 0.905 0.869  0.60
B: 0.630 0.295 0.708  0.01
B: 0.110 0.303 0.724  0.01

No. 2
The following is a DFT calculation (PBE) of crystalline CeHo2B2Ru5 at its relaxed geometry.

Calculated values
V: 15.3 A^3/atom
Density of states at the Fermi level: 0.741 states/eV per atom
ΔE_f: -447.8 meV/atom
DFT total energy: -158.60 eV/cell

a b c (Å): 3.190 9.793 9.793
angles (deg): 90.00 90.00 90.00
Fractional coordinates of all 20 atoms:
Ce: 0.000 0.000 0.000
Ce: 0.000 0.500 0.500
Ho: 0.000 0.673 0.173
Ho: 0.000 0.327 0.827
Ho: 0.000 0.173 0.327
Ho: 0.000 0.827 0.673
B: 0.000 0.120 0.620
B: 0.000 0.880 0.380
B: 0.000 0.620 0.880
B: 0.000 0.380 0.120
Ru: 0.500 0.223 0.073
Ru: 0.500 0.777 0.927
Ru: 0.500 0.073 0.777
Ru: 0.500 0.723 0.427
Ru: 0.500 0.927 0.223
Ru: 0.500 0.277 0.573
Ru: 0.500 0.573 0.723
Ru: 0.500 0.427 0.277
Ru: 0.500 0.500 0.000
Ru: 0.500 0.000 0.500

No. 3
The following is a DFT calculation (PBE) of crystalline Ce2BI at its relaxed geometry.

Calculated values
V: 26.1 A^3/atom
Density of states at the Fermi level: 1.843 states/eV per atom
Uncorrected formation energy: -11.09 kcal/mol of atoms
DFT total energy: -22.02 eV/cell

a b c (Å): 3.984 3.984 7.951
angles (deg): 75.49 75.49 60.00
Last column: magnetic moment on the atom in μB.
Fractional coordinates of all 4 atoms:
I: 0.500 0.500 0.500  -0.01
B: 0.000 0.000 0.000  -0.05
Ce: 0.726 0.726 0.821  0.46
Ce: 0.274 0.274 0.179  0.46

No. 4
The following is a DFT calculation (PBE) of crystalline CeInB at its relaxed geometry.

Calculated values
V: 22.2 A^3/atom
Density of states at the Fermi level: 2.042 states/eV per atom
ΔE_f: 71.4 meV/atom
DFT total energy: -30.27 eV/cell

a b c (Å): 3.236 5.191 8.516
angles (deg): 86.60 79.05 71.84
Last column: magnetic moment on the atom in μB.
Fractional coordinates of all 6 atoms:
B: 0.750 0.500 0.500  0.00
B: 0.250 0.500 0.500  0.00
In: 0.863 0.273 0.000  0.00
In: 0.137 0.727 0.000  0.00
Ce: 0.662 0.000 0.676  0.83
Ce: 0.338 0.000 0.324  0.83

No. 5
The following is a DFT calculation (PBE) of crystalline CeInB2Ir5 at its relaxed geometry.

Calculated values
V: 15.7 A^3/atom
Density of states at the Fermi level: 0.424 states/eV per atom
ΔE_f: -338.0 meV/atom
DFT total energy: -69.37 eV/cell

a b c (Å): 4.137 4.137 8.269
angles (deg): 90.00 90.00 90.00
Fractional coordinates of all 9 atoms:
Ce: 0.000 0.000 0.500
In: 0.000 0.000 0.000
B: 0.500 0.500 0.205
B: 0.500 0.500 0.795
Ir: 0.000 0.500 0.245
Ir: 0.500 0.000 0.245
Ir: 0.000 0.500 0.755
Ir: 0.500 0.000 0.755
Ir: 0.500 0.500 0.500

No. 6
The following is a DFT calculation (PBE) of crystalline Ce2In2BIr4 at its relaxed geometry.

Calculated values
V: 18.5 A^3/atom
Density of states at the Fermi level: 0.872 states/eV per atom
ΔE_f: -378.3 meV/atom
DFT total energy: -62.87 eV/cell

a b c (Å): 6.144 6.144 6.144
angles (deg): 91.97 118.87 118.87
Last column: magnetic moment on the atom in μB.
Fractional coordinates of all 9 atoms:
Ce: 0.500 0.750 0.250  0.23
Ce: 0.500 0.250 0.750  0.23
In: 0.000 0.691 0.691  0.00
In: 0.000 0.309 0.309  0.00
B: 0.000 0.000 0.000  0.00
Ir: 0.000 0.762 0.238  -0.01
Ir: 0.524 0.762 0.762  -0.01
Ir: 0.000 0.238 0.762  -0.01
Ir: 0.476 0.238 0.238  -0.01

No. 7
The following is a DFT calculation (PBE) of crystalline Ce2InNi12B3 at its relaxed geometry.

Calculated values
V: 13.2 A^3/atom
Density of states at the Fermi level: 0.717 states/eV per atom
ΔE_f: -102.1 meV/atom
DFT total energy: -105.85 eV/cell

a b c (Å): 6.889 6.889 6.889
angles (deg): 61.36 61.36 61.36
Fractional coordinates of all 18 atoms:
Ce: 0.594 0.594 0.594
Ce: 0.406 0.406 0.406
In: 0.000 0.000 0.000
Ni: 0.274 0.274 0.874
Ni: 0.846 0.846 0.468
Ni: 0.468 0.846 0.846
Ni: 0.874 0.274 0.274
Ni: 0.846 0.468 0.846
Ni: 0.274 0.874 0.274
Ni: 0.726 0.726 0.126
Ni: 0.154 0.154 0.532
Ni: 0.532 0.154 0.154
Ni: 0.126 0.726 0.726
Ni: 0.154 0.532 0.154
Ni: 0.726 0.126 0.726
B: 0.500 0.000 0.000
B: 0.000 0.500 0.000
B: 0.000 0.000 0.500

No. 8
The following is a DFT calculation (PBE) of crystalline Ce2InB2Rh5 at its relaxed geometry.

Calculated values
V: 15.5 A^3/atom
Density of states at the Fermi level: 0.815 states/eV per atom
ΔE_f: -705.0 meV/atom
DFT total energy: -143.54 eV/cell

a b c (Å): 3.301 9.705 9.705
angles (deg): 90.00 90.00 90.00
Last column: magnetic moment on the atom in μB.
Fractional coordinates of all 20 atoms:
Ce: 0.000 0.677 0.177  0.42
Ce: 0.000 0.323 0.823  0.42
Ce: 0.000 0.177 0.323  0.42
Ce: 0.000 0.823 0.677  0.42
In: 0.000 0.000 0.000  0.00
In: 0.000 0.500 0.500  0.00
B: 0.000 0.120 0.620  0.00
B: 0.000 0.880 0.380  0.00
B: 0.000 0.620 0.880  0.00
B: 0.000 0.380 0.120  0.00
Rh: 0.500 0.228 0.071  -0.03
Rh: 0.500 0.772 0.929  -0.03
Rh: 0.500 0.071 0.772  -0.03
Rh: 0.500 0.728 0.429  -0.03
Rh: 0.500 0.929 0.228  -0.03
Rh: 0.500 0.272 0.571  -0.03
Rh: 0.500 0.571 0.728  -0.03
Rh: 0.500 0.429 0.272  -0.03
Rh: 0.500 0.500 0.000  -0.03
Rh: 0.500 0.000 0.500  -0.03

No. 9
The following is a DFT calculation (PBE) of crystalline CeInB2Rh5 at its relaxed geometry.

Calculated values
V: 15.3 A^3/atom
Density of states at the Fermi level: 0.363 states/eV per atom
ΔE_f: -502.7 meV/atom
DFT total energy: -63.31 eV/cell

a b c (Å): 4.173 4.173 7.923
angles (deg): 90.00 90.00 90.00
Last column: magnetic moment on the atom in μB.
Fractional coordinates of all 9 atoms:
Ce: 0.000 0.000 0.500  -0.20
In: 0.000 0.000 0.000  0.00
B: 0.500 0.500 0.218  0.00
B: 0.500 0.500 0.782  0.00
Rh: 0.000 0.500 0.237  0.01
Rh: 0.500 0.000 0.237  0.01
Rh: 0.000 0.500 0.763  0.01
Rh: 0.500 0.000 0.763  0.01
Rh: 0.500 0.500 0.500  0.02

No. 10
The following is a DFT calculation (PBE) of crystalline Ce2In2BRh4 at its relaxed geometry.

Calculated values
V: 18.3 A^3/atom
Density of states at the Fermi level: 1.317 states/eV per atom
ΔE_f: -470.0 meV/atom
DFT total energy: -57.66 eV/cell

a b c (Å): 6.018 6.018 6.018
angles (deg): 100.20 114.30 114.30
Last column: magnetic moment on the atom in μB.
Fractional coordinates of all 9 atoms:
Ce: 0.500 0.750 0.250  0.24
Ce: 0.500 0.250 0.750  0.24
In: 0.000 0.689 0.689  0.00
In: 0.000 0.311 0.311  0.00
B: 0.000 0.000 0.000  0.00
Rh: 0.000 0.771 0.229  -0.03
Rh: 0.541 0.771 0.771  -0.03
Rh: 0.000 0.229 0.771  -0.03
Rh: 0.459 0.229 0.229  -0.03

No. 11
The following is a DFT calculation (PBE) of crystalline CeB2Ir2 at its relaxed geometry.

Calculated values
Energy above the most stable polymorph in this dataset: 30 kJ/mol of formula units
V: 14.8 A^3/atom
Density of states at the Fermi level: 0.856 states/eV per atom
ΔE_f: -643.3 meV/atom
DFT total energy: -40.23 eV/cell

a b c (Å): 3.876 3.876 5.640
angles (deg): 110.10 110.10 89.99
Last column: magnetic moment on the atom in μB.
Fractional coordinates of all 5 atoms:
Ce: 0.000 0.000 0.000  0.57
B: 0.650 0.650 0.299  0.00
B: 0.350 0.350 0.701  0.00
Ir: 0.750 0.250 0.500  -0.01
Ir: 0.250 0.750 0.500  -0.01

No. 12
The following is a DFT calculation (PBE) of crystalline Ce3B2Ir7 at its relaxed geometry.

Calculated values
Energy above the most stable polymorph in this dataset: 0 kJ/mol of formula units
V: 16.2 A^3/atom
Density of states at the Fermi level: 0.934 states/eV per atom
ΔE_f: -752.0 meV/atom
DFT total energy: -102.21 eV/cell

a b c (Å): 5.460 5.460 8.173
angles (deg): 70.49 70.49 60.00
Fractional coordinates of all 12 atoms:
Ce: 0.000 0.000 0.000
Ce: 0.855 0.855 0.434
Ce: 0.145 0.145 0.566
B: 0.667 0.667 0.998
B: 0.333 0.333 0.002
Ir: 0.500 0.500 0.500
Ir: 0.929 0.434 0.203
Ir: 0.434 0.929 0.203
Ir: 0.434 0.434 0.203
Ir: 0.071 0.566 0.797
Ir: 0.566 0.566 0.797
Ir: 0.566 0.071 0.797

No. 13
The following is a DFT calculation (PBE) of crystalline CeB6Ir12 at its relaxed geometry.

Calculated values
V: 13.2 A^3/atom
Density of states at the Fermi level: 0.847 states/eV per atom
ΔE_f: -282.0 meV/atom
DFT total energy: -157.69 eV/cell

a b c (Å): 6.557 6.557 6.557
angles (deg): 104.15 104.15 104.15
Last column: magnetic moment on the atom in μB.
Fractional coordinates of all 19 atoms:
Ce: 0.000 0.000 0.000  0.42
B: 0.664 0.229 0.229  0.00
B: 0.229 0.229 0.664  0.00
B: 0.229 0.664 0.229  0.00
B: 0.771 0.771 0.336  0.00
B: 0.336 0.771 0.771  0.00
B: 0.771 0.336 0.771  0.00
Ir: 0.864 0.136 0.500  -0.01
Ir: 0.815 0.556 0.556  -0.01
Ir: 0.556 0.556 0.815  -0.01
Ir: 0.444 0.185 0.444  -0.01
Ir: 0.444 0.444 0.185  -0.01
Ir: 0.185 0.444 0.444  -0.01
Ir: 0.136 0.500 0.864  -0.01
Ir: 0.500 0.864 0.136  -0.01
Ir: 0.136 0.864 0.500  -0.01
Ir: 0.864 0.500 0.136  -0.01
Ir: 0.500 0.136 0.864  -0.01
Ir: 0.556 0.815 0.556  -0.01

No. 14
The following is a DFT calculation (PBE) of crystalline CeB4Ir4 at its relaxed geometry.

Calculated values
Energy above the most stable polymorph in this dataset: 0 kJ/mol of formula units
V: 13.1 A^3/atom
Density of states at the Fermi level: 0.660 states/eV per atom
ΔE_f: -552.3 meV/atom
DFT total energy: -146.12 eV/cell

a b c (Å): 7.721 7.721 3.963
angles (deg): 90.00 90.00 90.00
Last column: magnetic moment on the atom in μB.
Fractional coordinates of all 18 atoms:
Ce: 0.000 0.000 0.000  0.52
Ce: 0.500 0.500 0.500  0.52
B: 0.779 0.659 0.110  0.00
B: 0.221 0.341 0.110  0.00
B: 0.841 0.279 0.610  0.00
B: 0.159 0.721 0.610  0.00
B: 0.721 0.841 0.390  0.00
B: 0.279 0.159 0.390  0.00
B: 0.659 0.221 0.890  0.00
B: 0.341 0.779 0.890  0.00
Ir: 0.392 0.162 0.889  -0.01
Ir: 0.608 0.838 0.889  -0.01
Ir: 0.338 0.892 0.389  -0.01
Ir: 0.662 0.108 0.389  -0.01
Ir: 0.108 0.338 0.611  -0.01
Ir: 0.892 0.662 0.611  -0.01
Ir: 0.162 0.608 0.111  -0.01
Ir: 0.838 0.392 0.111  -0.01

No. 15
The following is a DFT calculation (PBE) of crystalline CeB5Ir7 at its relaxed geometry.

Calculated values
V: 12.7 A^3/atom
Density of states at the Fermi level: 0.680 states/eV per atom
ΔE_f: -60.7 meV/atom
DFT total energy: -102.14 eV/cell

a b c (Å): 5.056 6.256 6.256
angles (deg): 85.33 66.17 66.17
Fractional coordinates of all 13 atoms:
Ce: 0.007 0.993 0.993
B: 0.450 0.990 0.473
B: 0.087 0.990 0.473
B: 0.450 0.473 0.990
B: 0.087 0.473 0.990
B: 0.697 0.803 0.803
Ir: 0.677 0.323 0.323
Ir: 0.340 0.660 0.660
Ir: 0.918 0.421 0.742
Ir: 0.918 0.742 0.421
Ir: 0.249 0.251 0.251
Ir: 0.560 0.728 0.153
Ir: 0.560 0.153 0.728

No. 16
The following is a DFT calculation (PBE) of crystalline Ce3B8Ir3 at its relaxed geometry.

Calculated values
V: 12.4 A^3/atom
Density of states at the Fermi level: 0.809 states/eV per atom
ΔE_f: -228.9 meV/atom
DFT total energy: -101.01 eV/cell

a b c (Å): 3.420 7.339 7.339
angles (deg): 81.33 76.53 76.53
Last column: magnetic moment on the atom in μB.
Fractional coordinates of all 14 atoms:
Ce: 0.500 0.500 0.500  0.50
Ce: 0.788 0.212 0.212  0.07
Ce: 0.212 0.788 0.788  0.07
B: 0.643 0.082 0.631  0.00
B: 0.357 0.918 0.369  0.00
B: 0.643 0.631 0.082  0.00
B: 0.357 0.369 0.918  0.00
B: 0.809 0.889 0.492  0.00
B: 0.191 0.111 0.508  0.00
B: 0.809 0.492 0.889  0.00
B: 0.191 0.508 0.111  0.00
Ir: 0.500 0.000 0.000  0.03
Ir: 0.000 0.774 0.226  0.00
Ir: 0.000 0.226 0.774  0.00

No. 17
The following is a DFT calculation (PBE) of crystalline CeB4Ir8 at its relaxed geometry.

Calculated values
V: 15.9 A^3/atom
Density of states at the Fermi level: 0.958 states/eV per atom
ΔE_f: 455.5 meV/atom
DFT total energy: -97.61 eV/cell

a b c (Å): 6.638 6.638 6.638
angles (deg): 60.00 60.00 60.00
Fractional coordinates of all 13 atoms:
Ce: 0.750 0.750 0.750
B: 0.892 0.369 0.369
B: 0.369 0.892 0.369
B: 0.369 0.369 0.892
B: 0.369 0.369 0.369
Ir: 0.576 0.141 0.141
Ir: 0.141 0.576 0.141
Ir: 0.141 0.141 0.576
Ir: 0.141 0.141 0.141
Ir: 0.200 0.600 0.600
Ir: 0.600 0.200 0.600
Ir: 0.600 0.600 0.200
Ir: 0.600 0.600 0.600

No. 18
The following is a DFT calculation (PBE) of crystalline CeB4Ir4 at its relaxed geometry.

Calculated values
Energy above the most stable polymorph in this dataset: 54 kJ/mol of formula units
V: 12.3 A^3/atom
Density of states at the Fermi level: 0.607 states/eV per atom
ΔE_f: -490.2 meV/atom
DFT total energy: -145.00 eV/cell

a b c (Å): 5.424 5.424 7.525
angles (deg): 90.00 90.00 90.00
Fractional coordinates of all 18 atoms:
Ce: 0.000 0.000 0.000
Ce: 0.500 0.500 0.500
B: 0.500 0.829 0.846
B: 0.500 0.171 0.846
B: 0.829 0.500 0.154
B: 0.171 0.500 0.154
B: 0.329 0.000 0.346
B: 0.671 0.000 0.346
B: 0.000 0.329 0.654
B: 0.000 0.671 0.654
Ir: 0.249 0.500 0.856
Ir: 0.751 0.500 0.856
Ir: 0.500 0.751 0.144
Ir: 0.500 0.249 0.144
Ir: 0.000 0.749 0.356
Ir: 0.000 0.251 0.356
Ir: 0.251 0.000 0.644
Ir: 0.749 0.000 0.644

No. 19
The following is a DFT calculation (PBE) of crystalline CeB4Ir5 at its relaxed geometry.

Calculated values
V: 13.1 A^3/atom
Density of states at the Fermi level: 0.505 states/eV per atom
ΔE_f: -221.8 meV/atom
DFT total energy: -158.33 eV/cell

a b c (Å): 5.437 6.937 6.937
angles (deg): 90.00 90.00 90.00
Fractional coordinates of all 20 atoms:
Ce: 0.000 0.000 0.000
Ce: 0.000 0.500 0.500
B: 0.413 0.293 0.000
B: 0.587 0.000 0.293
B: 0.587 0.000 0.707
B: 0.413 0.707 0.000
B: 0.587 0.793 0.500
B: 0.413 0.500 0.207
B: 0.413 0.500 0.793
B: 0.587 0.207 0.500
Ir: 0.729 0.290 0.210
Ir: 0.729 0.290 0.790
Ir: 0.892 0.000 0.500
Ir: 0.729 0.710 0.210
Ir: 0.729 0.710 0.790
Ir: 0.271 0.790 0.290
Ir: 0.271 0.790 0.710
Ir: 0.108 0.500 0.000
Ir: 0.271 0.210 0.710
Ir: 0.271 0.210 0.290

No. 20
The following is a DFT calculation (PBE) of crystalline CeB3Ir5 at its relaxed geometry.

Calculated values
V: 13.9 A^3/atom
Density of states at the Fermi level: 0.668 states/eV per atom
ΔE_f: -213.4 meV/atom
DFT total energy: -144.38 eV/cell

a b c (Å): 3.406 5.305 14.587
angles (deg): 90.00 90.00 108.73
Fractional coordinates of all 18 atoms:
Ce: 0.790 0.579 0.750
Ce: 0.210 0.421 0.250
B: 0.367 0.733 0.038
B: 0.955 0.910 0.250
B: 0.367 0.733 0.462
B: 0.633 0.267 0.538
B: 0.045 0.090 0.750
B: 0.633 0.267 0.962
Ir: 0.751 0.503 0.417
Ir: 0.249 0.497 0.917
Ir: 0.000 0.000 0.500
Ir: 0.000 0.000 0.000
Ir: 0.488 0.975 0.159
Ir: 0.512 0.025 0.841
Ir: 0.512 0.025 0.659
Ir: 0.751 0.503 0.083
Ir: 0.249 0.497 0.583
Ir: 0.488 0.975 0.341